Density functional theory data (GGA-PBE) for Sr2Mg3Bi4 after structural relaxation.

Summary:
N(E_F): 4.04 states/eV/f.u.
Total moment: 0.0 μB per formula unit
Calculated total energy: -3.177 eV per atom
Mass density: 6.54 g cm⁻³

abc: 6.9505 17.3992 9.1020
angles: 90.00 90.00 90.00
Space group Cmce (No. 64)
Unique sites:
Sr: 0.0000 0.1158 0.0822
Mg: 0.0000 0.0000 0.5000
Mg: 0.2500 0.2157 0.7500
Bi: 0.0000 0.1878 0.4446
Bi: 0.2500 0.0468 0.7500



Density functional theory data (GGA-PBE) for Sr5MgBi4 after structural relaxation.

Summary:
N(E_F): 1.05 states/eV/f.u.
Total moment: 0.0 μB per formula unit
Polymorph energy (0 for the lowest one): 13 meV/atom
Mass density: 5.23 g cm⁻³

abc: 19.4702 5.0643 8.4841
angles: 90.00 99.69 90.00
Space group C2/m (No. 12)
Unique sites:
Sr: 0.0000 0.0000 0.0000
Sr: 0.1516 0.5000 0.4692
Sr: 0.1705 0.5000 0.9817
Mg: 0.0000 0.0000 0.5000
Bi: 0.0226 0.5000 0.7291
Bi: 0.1949 0.0000 0.2394



Density functional theory data (GGA-PBE) for SrMg2BiTe after structural relaxation.

Summary:
Uncorrected formation energy: -0.25 eV/atom
N(E_F): 2.43 states/eV/f.u.
Total moment: 0.0 μB per formula unit
Mass density: 4.03 g cm⁻³

abc: 5.4355 5.4355 6.5977
angles: 90.00 90.00 90.00
Space group P4/mmm (No. 123)
Unique sites:
Sr: 0.0000 0.0000 0.0000
Mg: 0.0000 0.5000 0.5000
Bi: 0.0000 0.0000 0.5000
Te: 0.5000 0.5000 0.0000



> What is the total moment in the first record?

0.0 μB per formula unit



What did the third record say?
Density functional theory data (GGA-PBE) for SrMg2BiTe after structural relaxation.

Summary:
Uncorrected formation energy: -0.25 eV/atom
N(E_F): 2.43 states/eV/f.u.
Total moment: 0.0 μB per formula unit
Mass density: 4.03 g cm⁻³

abc: 5.4355 5.4355 6.5977
angles: 90.00 90.00 90.00
Space group P4/mmm (No. 123)
Unique sites:
Sr: 0.0000 0.0000 0.0000
Mg: 0.0000 0.5000 0.5000
Bi: 0.0000 0.0000 0.5000
Te: 0.5000 0.5000 0.0000